! Sm5Ho3Sb8 | Alexandria via LeMat-Bulk | GGA-PBE | optimized geometry; values from VASP
! **Total moment**: 0.0 Bohr magnetons per cell
! **E**: -5.5448 eV/atom
! **Space-group type**: No. 166
&SYSTEM
  ibrav = 0, nat = 16, ntyp = 3
/
ATOMIC_SPECIES
Sm 150.36 Sm.upf
Ho 164.93 Ho.upf
Sb 121.76 Sb.upf
ATOMIC_POSITIONS angstrom
Sm 0.000 0.000 0.000
Sm -2.217 -1.280 7.238
Sm -2.217 1.280 14.476
Sm 0.000 2.560 7.238
Sm 0.000 0.000 10.857
Ho -4.434 0.000 10.857
Ho -2.217 1.280 3.619
Ho 2.217 1.280 3.619
Sb -2.237 -1.292 12.634
Sb 0.000 0.000 5.380
Sb 0.000 -2.584 9.081
Sb -2.237 1.292 9.081
Sb 2.237 -1.292 12.634
Sb 0.000 2.584 12.634
Sb 0.000 0.000 16.335
Sb 2.237 1.292 9.081
CELL_PARAMETERS angstrom
4.434 2.560 7.238
-4.434 2.560 7.238
0.000 -5.121 7.238